[1]
Density functional theory data (PBE) for an optimized crystal structure of MnFeAg2.

The formation energy comes out at 392 meV per atom. The calculation puts the relative energy among the computed polymorphs at 136 meV/atom. The crystal system is orthorhombic. As for the space group: Cmmm.

a b c (Å): 4.856 4.856 2.844
angles (deg): 90.00 90.00 110.55
Fractional coordinates of all 4 atoms:
Ag1 0.500 0.500 0.000
Ag2 0.000 0.000 0.000
Fe1 0.500 0.000 0.500
Mn1 0.000 0.500 0.500


[2]
Density functional theory data (PBE) for an optimized crystal structure of LiCa2In5Pd2.

The formation energy comes out at -516 meV per atom. The crystal system is tetragonal. As for the space group: P4/mbm.

a b c (Å): 4.254 10.371 10.371
angles (deg): 90.00 90.00 90.00
Fractional coordinates of all 20 atoms:
In1 0.500 0.500 0.000
In2 0.500 0.564 0.702
In3 0.500 0.702 0.436
In4 0.500 0.000 0.500
In5 0.500 0.798 0.936
In6 0.500 0.298 0.564
In7 0.500 0.936 0.202
In8 0.500 0.064 0.798
In9 0.500 0.202 0.064
In10 0.500 0.436 0.298
Ca1 0.000 0.678 0.178
Ca2 0.000 0.322 0.822
Ca3 0.000 0.822 0.678
Ca4 0.000 0.178 0.322
Li1 0.000 0.000 0.000
Li2 0.000 0.500 0.500
Pd1 0.000 0.621 0.879
Pd2 0.000 0.879 0.379
Pd3 0.000 0.379 0.121
Pd4 0.000 0.121 0.621


[3]
Density functional theory data (PBE) for an optimized crystal structure of Li2NdAg2.

The formation energy comes out at -196 meV per atom. The calculation puts the relative energy among the computed polymorphs at 0 meV/atom. The crystal system is tetragonal. As for the space group: P4/mmm.

a b c (Å): 4.053 4.053 6.560
angles (deg): 90.00 90.00 90.00
Fractional coordinates of all 5 atoms:
Li1 0.000 0.500 0.500
Li2 0.500 0.000 0.500
Ag1 0.500 0.500 0.780
Ag2 0.500 0.500 0.220
Nd1 0.000 0.000 0.000


[4]
Density functional theory data (PBE) for an optimized crystal structure of K3La2ZrS6.

The energy relative to the elements, uncorrected comes out at -1736 meV/atom. The crystal system is monoclinic. As for the space group: C2/m.

a b c (Å): 7.127 7.127 7.772
angles (deg): 98.85 98.85 119.98
Fractional coordinates of all 12 atoms:
S1 0.239 0.239 0.795
S2 0.931 0.623 0.794
S3 0.069 0.377 0.206
S4 0.761 0.761 0.205
S5 0.377 0.069 0.206
S6 0.623 0.931 0.794
K1 0.169 0.831 0.500
K2 0.500 0.500 0.500
K3 0.831 0.169 0.500
La1 0.667 0.333 0.000
La2 0.333 0.667 0.000
Zr1 0.000 0.000 0.000


[5]
Density functional theory data (PBE) for an optimized crystal structure of PmMgHg4.

The formation energy comes out at -85 meV per atom. The calculation puts the relative energy among the computed polymorphs at 207 meV/atom. The crystal system is cubic. As for the space group: F-43m.

a b c (Å): 5.975 5.975 5.975
angles (deg): 60.00 60.00 60.00
Fractional coordinates of all 6 atoms:
Hg1 0.625 0.126 0.625
Hg2 0.126 0.625 0.625
Hg3 0.625 0.625 0.625
Hg4 0.625 0.625 0.126
Pm1 0.250 0.250 0.250
Mg1 0.000 0.000 0.000


[6]
Density functional theory data (PBE) for an optimized crystal structure of PmVOs2.

The formation energy comes out at 7 meV per atom. The crystal system is tetragonal. As for the space group: P4/mmm.

a b c (Å): 3.090 3.090 7.251
angles (deg): 90.00 90.00 90.00
Fractional coordinates of all 4 atoms:
V1 0.500 0.500 0.000
Os1 0.000 0.000 0.803
Os2 0.000 0.000 0.197
Pm1 0.500 0.500 0.500


[7]
Density functional theory data (PBE) for an optimized crystal structure of SnAsW.

The formation energy comes out at 196 meV per atom. The crystal system is orthorhombic. As for the space group: Fddd.

a b c (Å): 5.722 5.627 8.935
angles (deg): 80.63 71.32 59.44
Fractional coordinates of all 12 atoms:
As1 0.852 0.296 0.000
As2 0.602 0.796 0.500
As3 0.148 0.704 0.000
As4 0.898 0.204 0.500
W1 0.863 0.000 0.273
W2 0.613 0.500 0.773
W3 0.887 0.500 0.227
W4 0.137 0.000 0.727
Sn1 0.333 0.500 0.334
Sn2 0.167 0.500 0.666
Sn3 0.417 0.000 0.166
Sn4 0.583 0.000 0.834


[8]
Density functional theory data (PBE) for an optimized crystal structure of MgRe2Ag.

The formation energy comes out at 363 meV per atom. The crystal system is monoclinic. As for the space group: Cm.

a b c (Å): 4.717 4.717 5.218
angles (deg): 84.03 84.03 34.10
Fractional coordinates of all 4 atoms:
Mg1 0.249 0.249 0.272
Ag1 0.497 0.497 0.473
Re1 0.752 0.752 0.789
Re2 0.003 0.003 0.966